{
  "formula": "UNi2Pt",
  "functional": "PBE-GGA",
  "state": "optimized geometry",
  "lattice_angstrom": [[-3.338, -2.904, 0.387], [0.585, -3.763, 2.285], [-2.017, -0.556, 3.918]],
  "species": ["Ni", "Ni", "U", "Pt"],
  "fractional_positions": [[0.250, 0.250, 0.250], [0.750, 0.750, 0.750], [0.500, 0.500, 0.500], [0.000, 0.000, 0.000]],
  "e_tot_ry_per_atom": -0.554,
  "vol_a3_per_atom": 15.49,
  "formation_energy_mev_per_atom": -319,
  "total_magnetization_mub_per_cell": 1.8
}


{
  "formula": "Na2MgP4H12O18",
  "functional": "PBE-GGA",
  "state": "optimized geometry",
  "lattice_angstrom": [[11.589, 0.000, 0.000], [0.000, 8.253, -0.084], [0.000, 3.625, 8.348]],
  "species": ["Na", "Na", "Na", "Na", "Mg", "Mg", "P", "P", "P", "P", "P", "P", "P", "P", "H", "H", "H", "H", "H", "H", "H", "H", "H", "H", "H", "H", "H", "H", "H", "H", "H", "H", "H", "H", "H", "H", "H", "H", "O", "O", "O", "O", "O", "O", "O", "O", "O", "O", "O", "O", "O", "O", "O", "O", "O", "O", "O", "O", "O", "O", "O", "O", "O", "O", "O", "O", "O", "O", "O", "O", "O", "O", "O", "O"],
  "fractional_positions": [[0.250, 0.236, 0.091], [0.750, 0.764, 0.909], [0.250, 0.972, 0.557], [0.750, 0.028, 0.443], [0.750, 0.485, 0.261], [0.250, 0.515, 0.739], [0.490, 0.305, 0.351], [0.990, 0.695, 0.649], [0.510, 0.695, 0.649], [0.010, 0.305, 0.351], [0.498, 0.691, 0.163], [0.998, 0.309, 0.837], [0.502, 0.309, 0.837], [0.002, 0.691, 0.163], [0.497, 0.247, 0.132], [0.997, 0.753, 0.868], [0.503, 0.753, 0.868], [0.003, 0.247, 0.132], [0.513, 0.814, 0.341], [0.013, 0.186, 0.659], [0.487, 0.186, 0.659], [0.987, 0.814, 0.341], [0.318, 0.611, 0.984], [0.818, 0.389, 0.016], [0.682, 0.389, 0.016], [0.182, 0.611, 0.984], [0.318, 0.889, 0.283], [0.818, 0.111, 0.717], [0.682, 0.111, 0.717], [0.182, 0.889, 0.283], [0.317, 0.918, 0.886], [0.817, 0.082, 0.114], [0.683, 0.082, 0.114], [0.183, 0.918, 0.886], [0.683, 0.633, 0.466], [0.183, 0.367, 0.534], [0.317, 0.367, 0.534], [0.817, 0.633, 0.466], [0.440, 0.241, 0.222], [0.940, 0.759, 0.778], [0.560, 0.759, 0.778], [0.060, 0.241, 0.222], [0.449, 0.509, 0.295], [0.949, 0.491, 0.705], [0.551, 0.491, 0.705], [0.051, 0.509, 0.295], [0.621, 0.297, 0.357], [0.121, 0.703, 0.643], [0.379, 0.703, 0.643], [0.879, 0.297, 0.357], [0.424, 0.211, 0.505], [0.924, 0.789, 0.495], [0.576, 0.789, 0.495], [0.076, 0.211, 0.505], [0.466, 0.828, 0.238], [0.966, 0.172, 0.762], [0.534, 0.172, 0.762], [0.034, 0.828, 0.238], [0.427, 0.738, 0.010], [0.927, 0.262, 0.990], [0.573, 0.262, 0.990], [0.073, 0.738, 0.010], [0.625, 0.673, 0.143], [0.125, 0.327, 0.857], [0.375, 0.327, 0.857], [0.875, 0.673, 0.143], [0.250, 0.550, 0.962], [0.750, 0.450, 0.038], [0.250, 0.955, 0.294], [0.750, 0.045, 0.706], [0.250, 0.972, 0.819], [0.750, 0.028, 0.181], [0.750, 0.566, 0.452], [0.250, 0.434, 0.548]],
  "e_tot_ry_per_atom": -0.434,
  "vol_a3_per_atom": 10.84,
  "total_magnetization_mub_per_cell": 0.2
}


{
  "formula": "VPS2N",
  "functional": "PBE-GGA",
  "state": "optimized geometry",
  "lattice_angstrom": [[-1.254, -0.204, 4.309], [1.569, -4.202, 0.258], [4.170, 1.637, 1.291]],
  "species": ["P", "S", "S", "N", "V"],
  "fractional_positions": [[0.000, 0.000, 0.500], [0.000, 0.500, 0.000], [0.500, 0.000, 0.000], [0.500, 0.500, 0.500], [0.000, 0.000, 0.000]],
  "de_polymorph_mev_per_atom": 656.2,
  "e_tot_ry_per_atom": -0.379,
  "vol_a3_per_atom": 18.82,
  "raw_formation_energy_ev_per_fu": 5.3,
  "total_magnetization_mub_per_cell": 2.2
}


{
  "formula": "PaNi4Au8",
  "functional": "PBE-GGA",
  "state": "optimized geometry",
  "lattice_angstrom": [[-3.642, -2.683, -2.770], [-4.746, -2.996, 4.065], [-5.442, 3.928, -1.728]],
  "species": ["Pa", "Ni", "Ni", "Ni", "Ni", "Au", "Au", "Au", "Au", "Au", "Au", "Au", "Au"],
  "fractional_positions": [[0.000, 0.000, 0.000], [0.000, 0.000, 0.500], [0.500, 0.000, 0.500], [0.000, 0.500, 0.000], [0.500, 0.500, 0.000], [0.000, 0.335, 0.665], [0.000, 0.665, 0.335], [0.335, 0.665, 0.665], [0.665, 0.335, 0.335], [0.500, 0.783, 0.217], [0.500, 0.217, 0.783], [0.283, 0.217, 0.217], [0.717, 0.783, 0.783]],
  "e_tot_ry_per_atom": -0.342,
  "vol_a3_per_atom": 16.73,
  "formation_energy_mev_per_atom": -121,
  "total_magnetization_mub_per_cell": 0.0
}


{
  "formula": "HoH2Cl3",
  "functional": "PBE-GGA",
  "state": "optimized geometry",
  "lattice_angstrom": [[-5.309, 4.456, 0.429], [-2.894, -3.998, 5.738], [5.981, 1.203, 3.851]],
  "species": ["Ho", "Ho", "H", "H", "H", "H", "Cl", "Cl", "Cl", "Cl", "Cl", "Cl"],
  "fractional_positions": [[0.096, 0.750, 0.057], [0.904, 0.250, 0.943], [0.640, 0.750, 0.860], [0.357, 0.250, 0.243], [0.643, 0.750, 0.757], [0.360, 0.250, 0.140], [0.505, 0.250, 0.717], [0.495, 0.750, 0.283], [0.032, 0.998, 0.775], [0.968, 0.498, 0.225], [0.032, 0.502, 0.775], [0.968, 0.002, 0.225]],
  "e_tot_ry_per_atom": -0.314,
  "vol_a3_per_atom": 27.48,
  "total_magnetization_mub_per_cell": 0.0
}


{
  "formula": "Ti2MnAg",
  "functional": "PBE-GGA",
  "state": "optimized geometry",
  "lattice_angstrom": [[-1.916, 3.354, -0.119], [-0.349, -0.335, -3.834], [-8.809, -2.839, -0.899]],
  "species": ["Mn", "Mn", "Ag", "Ag", "Ti", "Ti", "Ti", "Ti"],
  "fractional_positions": [[0.500, 0.500, 0.000], [0.250, 0.750, 0.500], [0.000, 0.000, 0.000], [0.750, 0.250, 0.500], [0.605, 0.125, 0.250], [0.145, 0.625, 0.250], [0.375, 0.395, 0.750], [0.875, 0.855, 0.750]],
  "de_polymorph_mev_per_atom": 841.5,
  "e_tot_ry_per_atom": -0.460,
  "vol_a3_per_atom": 16.59,
  "formation_energy_mev_per_atom": 696,
  "total_magnetization_mub_per_cell": 0.0
}


{
  "formula": "Ca2MnNi3P4",
  "functional": "PBE-GGA",
  "state": "optimized geometry",
  "lattice_angstrom": [[-1.134, -0.264, -3.817], [-2.823, -2.630, 1.020], [-6.095, 7.056, 1.323]],
  "species": ["Ca", "Ca", "Mn", "Ni", "Ni", "Ni", "P", "P", "P", "P"],
  "fractional_positions": [[0.500, 0.000, 0.240], [0.000, 0.500, 0.760], [0.500, 0.500, 0.500], [0.000, 0.000, 0.500], [0.500, 0.000, 0.884], [0.000, 0.500, 0.116], [0.500, 0.500, 0.000], [0.000, 0.000, 0.000], [0.500, 0.000, 0.637], [0.000, 0.500, 0.363]],
  "e_tot_ry_per_atom": -0.441,
  "vol_a3_per_atom": 15.00,
  "formation_energy_mev_per_atom": -781,
  "total_magnetization_mub_per_cell": 3.3
}


{
  "formula": "Rb3Pr2ScSe6",
  "functional": "PBE-GGA",
  "state": "optimized geometry",
  "lattice_angstrom": [[-6.141, 2.699, -3.212], [1.945, -7.097, -1.072], [-2.888, -0.671, 7.840]],
  "species": ["Rb", "Rb", "Rb", "Pr", "Pr", "Sc", "Se", "Se", "Se", "Se", "Se", "Se"],
  "fractional_positions": [[0.170, 0.830, 0.500], [0.830, 0.170, 0.500], [0.500, 0.500, 0.500], [0.334, 0.666, 0.000], [0.666, 0.334, 0.000], [0.000, 0.000, 0.000], [0.935, 0.622, 0.804], [0.753, 0.753, 0.197], [0.065, 0.378, 0.196], [0.622, 0.935, 0.804], [0.247, 0.247, 0.803], [0.378, 0.065, 0.196]],
  "e_tot_ry_per_atom": -0.366,
  "vol_a3_per_atom": 31.94,
  "raw_formation_energy_ev_per_fu": -20.0,
  "total_magnetization_mub_per_cell": 0.0
}


{
  "formula": "ZrTiTeI2",
  "functional": "PBE-GGA",
  "state": "optimized geometry",
  "lattice_angstrom": [[5.416, 0.000, 0.000], [0.000, 5.416, 0.000], [0.000, 0.000, 5.501]],
  "species": ["I", "I", "Te", "Zr", "Ti"],
  "fractional_positions": [[0.000, 0.500, 0.000], [0.500, 0.000, 0.000], [0.000, 0.000, 0.500], [0.500, 0.500, 0.500], [0.000, 0.000, 0.000]],
  "de_polymorph_mev_per_atom": 0.0,
  "e_tot_ry_per_atom": -0.314,
  "vol_a3_per_atom": 32.27,
  "raw_formation_energy_ev_per_fu": 1.3,
  "total_magnetization_mub_per_cell": 4.0
}


{
  "formula": "Ba7Na4Pt",
  "functional": "PBE-GGA",
  "state": "optimized geometry",
  "lattice_angstrom": [[6.130, 0.000, 1.906], [1.838, 9.514, 4.901], [-0.153, 1.412, 11.303]],
  "species": ["Ba", "Ba", "Ba", "Ba", "Ba", "Ba", "Ba", "Na", "Na", "Na", "Na", "Pt"],
  "fractional_positions": [[0.833, 0.243, 0.090], [0.167, 0.757, 0.910], [0.029, 0.260, 0.682], [0.971, 0.740, 0.318], [0.321, 0.912, 0.445], [0.500, 0.000, 0.000], [0.679, 0.088, 0.555], [0.592, 0.534, 0.282], [0.408, 0.466, 0.718], [0.812, 0.652, 0.724], [0.188, 0.348, 0.276], [0.000, 0.000, 0.000]],
  "e_tot_ry_per_atom": -0.163,
  "vol_a3_per_atom": 52.05,
  "formation_energy_mev_per_atom": -148,
  "total_magnetization_mub_per_cell": 0.0
}


{
  "formula": "CrTe2Ru",
  "functional": "PBE-GGA",
  "state": "optimized geometry",
  "lattice_angstrom": [[3.488, 0.000, 0.000], [0.000, 3.488, 0.000], [0.000, 0.000, 7.470]],
  "species": ["Cr", "Ru", "Te", "Te"],
  "fractional_positions": [[0.000, 0.000, 0.517], [0.500, 0.500, 0.728], [0.000, 0.000, 0.896], [0.500, 0.500, 0.360]],
  "de_polymorph_mev_per_atom": 121.2,
  "e_tot_ry_per_atom": -0.458,
  "vol_a3_per_atom": 22.72,
  "raw_formation_energy_ev_per_fu": 0.3,
  "total_magnetization_mub_per_cell": 4.2
}


{
  "formula": "Pa2O5F2",
  "functional": "PBE-GGA",
  "state": "optimized geometry",
  "lattice_angstrom": [[-0.607, -3.302, 2.974], [1.950, -2.514, -2.394], [7.225, 0.611, 1.931]],
  "species": ["Pa", "Pa", "O", "O", "O", "O", "O", "F", "F"],
  "fractional_positions": [[0.899, 0.859, 0.283], [0.101, 0.141, 0.717], [0.903, 0.703, 0.594], [0.097, 0.297, 0.406], [0.392, 0.838, 0.325], [0.608, 0.162, 0.675], [0.000, 0.000, 0.000], [0.316, 0.588, 0.825], [0.684, 0.412, 0.175]],
  "e_tot_ry_per_atom": -0.603,
  "vol_a3_per_atom": 14.35,
  "raw_formation_energy_ev_per_fu": -26.3,
  "total_magnetization_mub_per_cell": 2.0
}